This record from the Alexandria database describes a relaxed structure of SrAc4Cd4. The functional is GGA-PBE.

Unit cell a=6.4628 b=10.6691 c=10.6691 alpha=90.00 beta=90.00 gamma=90.00
Closest atoms and distances in Å follow each position.
Fractional positions:
Sr1 0.0000 0.0000 0.0000  4 Cd 3.31
Sr2 0.5000 0.5000 0.5000  4 Cd 3.31
Ac1 0.3811 0.3408 0.9109  5 Cd 3.37-3.56
Ac2 0.8811 0.5891 0.8408  5 Cd 3.37-3.56
Ac3 0.3811 0.6592 0.0891  5 Cd 3.37-3.56
Ac4 0.1189 0.1592 0.5891  5 Cd 3.37-3.56
Ac5 0.6189 0.9109 0.6592  5 Cd 3.37-3.56
Ac6 0.1189 0.8408 0.4109  5 Cd 3.37-3.56
Ac7 0.8811 0.4109 0.1592  5 Cd 3.37-3.56
Ac8 0.6189 0.0891 0.3408  5 Cd 3.37-3.56
Cd1 0.6194 0.7664 0.3585  1 Cd 2.89
Cd2 0.6194 0.2336 0.6415  1 Cd 2.89
Cd3 0.1194 0.8585 0.7336  1 Cd 2.89
Cd4 0.8806 0.2664 0.8585  1 Cd 2.89
Cd5 0.8806 0.7336 0.1415  1 Cd 2.89
Cd6 0.3806 0.3585 0.2336  1 Cd 2.89
Cd7 0.3806 0.6415 0.7664  1 Cd 2.89
Cd8 0.1194 0.1415 0.2664  1 Cd 2.89

Values from the calculation:
Space group = P4_2/n, No. 86
Total moment = 0.000 μB/f.u.

***

This record from the Alexandria database describes a relaxed structure of MgPt2Au. The functional is GGA-PBE.

Unit cell a=4.9524 b=4.9524 c=4.9524 alpha=132.11 beta=132.11 gamma=70.06
Closest atoms and distances in Å follow each position.
Fractional positions:
Mg1 0.7500 0.2500 0.5000  4 Au 2.84, 8 Pt 2.86
Au1 0.2500 0.7500 0.5000  4 Mg 2.84, 8 Pt 2.86
Pt1 0.0000 0.0000 0.0000  4 Pt 2.84, 4 Mg 2.86, 4 Au 2.86
Pt2 0.5000 0.5000 0.0000  4 Pt 2.84, 4 Mg 2.86, 4 Au 2.86

Values from the calculation:
Space group = I4/mmm, No. 139
Total moment = 0.000 μB/f.u.

***

This record from the Alexandria database describes a relaxed structure of Sb3BrF. The functional is GGA-PBE.

Unit cell a=5.0455 b=5.0455 c=5.0455 alpha=90.00 beta=90.00 gamma=90.00
Closest atoms and distances in Å follow each position.
Fractional positions:
Sb1 0.0000 0.5000 0.0000  2 F 2.52
Sb2 0.0000 0.0000 0.5000  2 F 2.52
Sb3 0.5000 0.0000 0.0000  2 F 2.52
Br1 0.5000 0.5000 0.5000  12 Sb 3.57
F1 0.0000 0.0000 0.0000  6 Sb 2.52

Values from the calculation:
Distance to the lowest polymorph of the same formula = 0.0 kJ per mole of atoms
Space group = Pm-3m, No. 221
Total moment = 0.000 μB/f.u.
E_form (uncorrected) = 0.563 eV per formula unit

***

This record from the Alexandria database describes a relaxed structure of Pm12Ho2Tm5. The functional is GGA-PBE.

Unit cell a=7.0764 b=11.6284 c=8.6952 alpha=71.06 beta=90.00 gamma=107.71
Closest atoms and distances in Å follow each position.
Fractional positions:
Pm1 0.1441 0.2881 0.9355  6 Pm 3.52-3.67, 3 Tm 3.55-3.66, 2 Ho 3.55
Pm2 0.0526 0.5983 0.7937  7 Pm 3.45-3.67, 4 Tm 3.52-3.64
Pm3 0.5457 0.5983 0.7937  7 Pm 3.45-3.67, 4 Tm 3.52-3.64
Pm4 0.1497 0.7871 0.3852  1 Ho 3.38, 4 Tm 3.38-3.49, 6 Pm 3.45-3.77
Pm5 0.6374 0.7871 0.3852  1 Ho 3.38, 4 Tm 3.38-3.49, 6 Pm 3.45-3.77
Pm6 0.4518 0.9036 0.6941  5 Pm 3.32-3.69, 1 Tm 3.46, 2 Ho 3.62
Pm7 0.5482 0.0964 0.3059  5 Pm 3.32-3.69, 1 Tm 3.46, 2 Ho 3.62
Pm8 0.8503 0.2129 0.6148  1 Ho 3.38, 4 Tm 3.38-3.49, 6 Pm 3.45-3.77
Pm9 0.3626 0.2129 0.6148  1 Ho 3.38, 4 Tm 3.38-3.49, 6 Pm 3.45-3.77
Pm10 0.9474 0.4017 0.2063  7 Pm 3.45-3.67, 4 Tm 3.52-3.64
Pm11 0.4543 0.4017 0.2063  7 Pm 3.45-3.67, 4 Tm 3.52-3.64
Pm12 0.8559 0.7119 0.0645  6 Pm 3.52-3.67, 3 Tm 3.55-3.66, 2 Ho 3.55
Ho1 0.7429 0.0000 0.0000  6 Pm 3.38-3.62, 2 Ho 3.44-3.64, 2 Tm 3.58
Ho2 0.2571 0.0000 0.0000  6 Pm 3.38-3.62, 2 Ho 3.44-3.64, 2 Tm 3.58
Tm1 0.2494 0.4988 0.5067  9 Pm 3.46-3.66, 3 Tm 3.50-3.54
Tm2 0.3499 0.6999 0.0963  9 Pm 3.45-3.64, 1 Tm 3.50, 2 Ho 3.58
Tm3 0.0000 0.0000 0.5000  4 Pm 3.38
Tm4 0.6501 0.3001 0.9037  9 Pm 3.45-3.64, 1 Tm 3.50, 2 Ho 3.58
Tm5 0.7506 0.5012 0.4933  9 Pm 3.46-3.66, 3 Tm 3.50-3.54

Values from the calculation:
Distance to the lowest polymorph of the same formula = 1.6 kJ per mole of atoms
Space group = C2/m, No. 12
Total moment = 0.000 μB/f.u.

***

This record from the Alexandria database describes a relaxed structure of YZrCd. The functional is GGA-PBE.

Unit cell a=3.3573 b=3.3573 c=13.4134 alpha=90.00 beta=89.99 gamma=90.00
Closest atoms and distances in Å follow each position.
Fractional positions:
Y1 0.8724 0.2913 0.4992  4 Cd 3.30, 4 Y 3.36, 4 Zr 3.37
Y2 0.3724 0.7912 0.0131  4 Cd 3.30, 4 Y 3.36, 4 Zr 3.37
Zr1 0.8722 0.2914 0.8351  8 Zr 3.18-3.36, 4 Y 3.37
Zr2 0.3723 0.7915 0.6772  8 Zr 3.18-3.36, 4 Y 3.37
Cd1 0.8727 0.2906 0.1840  8 Cd 3.06-3.36, 4 Y 3.30
Cd2 0.3726 0.7908 0.3282  8 Cd 3.06-3.36, 4 Y 3.30

Values from the calculation:
Distance to the lowest polymorph of the same formula = 7.4 kJ per mole of atoms
Space group = P4/nmm, No. 129
Total moment = 0.000 μB/f.u.

***

This record from the Alexandria database describes a relaxed structure of AcFeN2. The functional is GGA-PBE.

Unit cell a=3.4036 b=3.4036 c=5.5092 alpha=72.01 beta=72.01 gamma=60.00
Closest atoms and distances in Å follow each position.
Fractional positions:
Ac1 0.5000 0.5000 0.5000  6 N 2.59
Fe1 0.0000 0.0000 0.0000  6 N 2.15
N1 0.7239 0.7239 0.8284  3 Fe 2.15
N2 0.2761 0.2761 0.1716  3 Fe 2.15

Values from the calculation:
Distance to the lowest polymorph of the same formula = 52.0 kJ per mole of atoms
Space group = R-3m, No. 166
Total moment = 1.000 μB/f.u.
E_form (uncorrected) = -0.467 eV per formula unit

***

This record from the Alexandria database describes a relaxed structure of ScPaFe. The functional is GGA-PBE.

Unit cell a=3.0863 b=3.0863 c=6.5865 alpha=103.55 beta=103.55 gamma=90.00
Closest atoms and distances in Å follow each position.
Fractional positions:
Sc1 0.2993 0.2993 0.5986  4 Fe 2.72
Pa1 0.0321 0.0321 0.0641  4 Fe 2.76, 4 Pa 3.09
Fe1 0.6686 0.6686 0.3372  4 Sc 2.72, 4 Pa 2.76

Values from the calculation:
Distance to the lowest polymorph of the same formula = 11.0 kJ per mole of atoms
Space group = I4mm, No. 107
Total moment = 0.000 μB/f.u.

***

This record from the Alexandria database describes a relaxed structure of In2Ni4H. The functional is GGA-PBE.

Unit cell a=3.7415 b=3.7415 c=6.9769 alpha=105.55 beta=105.55 gamma=90.00
Closest atoms and distances in Å follow each position.
Fractional positions:
Ni1 0.8640 0.8640 0.7281  1 H 1.76
Ni2 0.1360 0.1360 0.2719  1 H 1.76
Ni3 0.0000 0.5000 0.0000  2 H 1.87
Ni4 0.5000 0.0000 0.0000  2 H 1.87
H1 0.0000 0.0000 0.0000  6 Ni 1.76-1.87
In1 0.6578 0.6578 0.3157  9 Ni 2.66-2.77
In2 0.3422 0.3422 0.6843  9 Ni 2.66-2.77

Values from the calculation:
Space group = I4/mmm, No. 139
Total moment = 0.000 μB/f.u.

***

Computed electronic total energy, in the same sequence as the records: -22.49, -18.89, -15.35, -85.91, -16.20, -29.69, -24.40, -32.35 eV per formula unit.